# 1
Here is a relaxed structure of RbTlS2N from Alexandria via LeMat-Bulk. Energies are from GGA-PBE.

```
data_RbTlS2N
_chemical_formula_sum 'Rb1 Tl1 S2 N1'
_cell_length_a 5.314
_cell_length_b 5.314
_cell_length_c 4.774
_cell_angle_alpha 90.00
_cell_angle_beta 90.00
_cell_angle_gamma 90.00
_symmetry_space_group_name_H-M 'P 1'
_symmetry_Int_Tables_number 1
loop_
_symmetry_equiv_pos_as_xyz
'x,y,z'
loop_
_atom_site_label
_atom_site_type_symbol
_atom_site_fract_x
_atom_site_fract_y
_atom_site_fract_z
Rb1 Rb 0.000 0.000 0.000
Tl1 Tl 0.500 0.500 0.500
S1 S 0.000 0.500 0.500
S2 S 0.500 0.000 0.500
N1 N 0.500 0.500 0.000
```

Summary:
* formation energy without anion corrections: 614 meV per atom
* SG: P4/mmm, No. 123
* crystal system: tetragonal
* M_tot: 2.623 μB/f.u.



# 2
Here is a relaxed structure of RbTlS2N from Alexandria via LeMat-Bulk. Energies are from GGA-PBE.

```
data_RbTlS2N
_chemical_formula_sum 'Rb1 Tl1 S2 N1'
_cell_length_a 6.037
_cell_length_b 6.037
_cell_length_c 5.442
_cell_angle_alpha 90.00
_cell_angle_beta 90.00
_cell_angle_gamma 90.00
_symmetry_space_group_name_H-M 'P 1'
_symmetry_Int_Tables_number 1
loop_
_symmetry_equiv_pos_as_xyz
'x,y,z'
loop_
_atom_site_label
_atom_site_type_symbol
_atom_site_fract_x
_atom_site_fract_y
_atom_site_fract_z
Rb1 Rb 0.000 0.000 0.000
Tl1 Tl 0.500 0.500 0.500
S1 S 0.000 0.500 0.000
S2 S 0.500 0.000 0.000
N1 N 0.000 0.000 0.500
```

Summary:
* formation energy without anion corrections: 1291 meV per atom
* SG: P4/mmm, No. 123
* crystal system: tetragonal
* M_tot: 5.001 μB/f.u.



# 3
Here is a relaxed structure of RbVS2N from Alexandria via LeMat-Bulk. Energies are from GGA-PBE.

```
data_RbVS2N
_chemical_formula_sum 'Rb1 V1 S2 N1'
_cell_length_a 4.895
_cell_length_b 4.895
_cell_length_c 3.837
_cell_angle_alpha 90.00
_cell_angle_beta 90.00
_cell_angle_gamma 90.00
_symmetry_space_group_name_H-M 'P 1'
_symmetry_Int_Tables_number 1
loop_
_symmetry_equiv_pos_as_xyz
'x,y,z'
loop_
_atom_site_label
_atom_site_type_symbol
_atom_site_fract_x
_atom_site_fract_y
_atom_site_fract_z
Rb1 Rb 0.000 0.000 0.000
V1 V 0.500 0.500 0.500
S1 S 0.000 0.500 0.500
S2 S 0.500 0.000 0.500
N1 N 0.500 0.500 0.000
```

Summary:
* formation energy without anion corrections: -286 meV per atom
* SG: P4/mmm, No. 123
* crystal system: tetragonal
* M_tot: 1.012 μB/f.u.



# 4
Here is a relaxed structure of RbVS2N from Alexandria via LeMat-Bulk. Energies are from GGA-PBE.

```
data_RbVS2N
_chemical_formula_sum 'Rb1 V1 S2 N1'
_cell_length_a 5.679
_cell_length_b 5.679
_cell_length_c 4.924
_cell_angle_alpha 90.00
_cell_angle_beta 90.00
_cell_angle_gamma 90.00
_symmetry_space_group_name_H-M 'P 1'
_symmetry_Int_Tables_number 1
loop_
_symmetry_equiv_pos_as_xyz
'x,y,z'
loop_
_atom_site_label
_atom_site_type_symbol
_atom_site_fract_x
_atom_site_fract_y
_atom_site_fract_z
Rb1 Rb 0.000 0.000 0.000
V1 V 0.500 0.500 0.500
S1 S 0.000 0.500 0.000
S2 S 0.500 0.000 0.000
N1 N 0.000 0.000 0.500
```

Summary:
* formation energy without anion corrections: 1992 meV per atom
* SG: P4/mmm, No. 123
* crystal system: tetragonal
* M_tot: 1.021 μB/f.u.



# 5
Here is a relaxed structure of RbWSN2 from Alexandria via LeMat-Bulk. Energies are from GGA-PBE.

```
data_RbWSN2
_chemical_formula_sum 'Rb1 W1 S1 N2'
_cell_length_a 4.098
_cell_length_b 4.098
_cell_length_c 4.896
_cell_angle_alpha 90.00
_cell_angle_beta 90.00
_cell_angle_gamma 90.00
_symmetry_space_group_name_H-M 'P 1'
_symmetry_Int_Tables_number 1
loop_
_symmetry_equiv_pos_as_xyz
'x,y,z'
loop_
_atom_site_label
_atom_site_type_symbol
_atom_site_fract_x
_atom_site_fract_y
_atom_site_fract_z
Rb1 Rb 0.000 0.000 0.000
W1 W 0.500 0.500 0.500
S1 S 0.500 0.500 0.000
N1 N 0.000 0.500 0.500
N2 N 0.500 0.000 0.500
```

Summary:
* formation energy without anion corrections: 45 meV per atom
* SG: P4/mmm, No. 123
* crystal system: tetragonal
* M_tot: 0.996 μB/f.u.



# 6
Here is a relaxed structure of RbWSN2 from Alexandria via LeMat-Bulk. Energies are from GGA-PBE.

```
data_RbWSN2
_chemical_formula_sum 'Rb1 W1 S1 N2'
_cell_length_a 4.237
_cell_length_b 4.237
_cell_length_c 5.797
_cell_angle_alpha 90.00
_cell_angle_beta 90.00
_cell_angle_gamma 90.00
_symmetry_space_group_name_H-M 'P 1'
_symmetry_Int_Tables_number 1
loop_
_symmetry_equiv_pos_as_xyz
'x,y,z'
loop_
_atom_site_label
_atom_site_type_symbol
_atom_site_fract_x
_atom_site_fract_y
_atom_site_fract_z
Rb1 Rb 0.000 0.000 0.000
W1 W 0.500 0.500 0.500
S1 S 0.000 0.000 0.500
N1 N 0.000 0.500 0.000
N2 N 0.500 0.000 0.000
```

Summary:
* formation energy without anion corrections: 3209 meV per atom
* SG: P4/mmm, No. 123
* crystal system: tetragonal
* M_tot: 1.000 μB/f.u.



# 7
Here is a relaxed structure of RbYS2N from Alexandria via LeMat-Bulk. Energies are from GGA-PBE.

```
data_RbYS2N
_chemical_formula_sum 'Rb1 Y1 S2 N1'
_cell_length_a 5.348
_cell_length_b 5.348
_cell_length_c 4.233
_cell_angle_alpha 90.00
_cell_angle_beta 90.00
_cell_angle_gamma 90.00
_symmetry_space_group_name_H-M 'P 1'
_symmetry_Int_Tables_number 1
loop_
_symmetry_equiv_pos_as_xyz
'x,y,z'
loop_
_atom_site_label
_atom_site_type_symbol
_atom_site_fract_x
_atom_site_fract_y
_atom_site_fract_z
Rb1 Rb 0.000 0.000 0.000
Y1 Y 0.500 0.500 0.500
S1 S 0.000 0.500 0.000
S2 S 0.500 0.000 0.000
N1 N 0.000 0.000 0.500
```

Summary:
* formation energy without anion corrections: 986 meV per atom
* SG: P4/mmm, No. 123
* crystal system: tetragonal
* M_tot: 0.753 μB/f.u.



# 8
Here is a relaxed structure of RbYS2N from Alexandria via LeMat-Bulk. Energies are from GGA-PBE.

```
data_RbYS2N
_chemical_formula_sum 'Rb1 Y1 S2 N1'
_cell_length_a 5.385
_cell_length_b 5.385
_cell_length_c 4.781
_cell_angle_alpha 90.00
_cell_angle_beta 90.00
_cell_angle_gamma 90.00
_symmetry_space_group_name_H-M 'P 1'
_symmetry_Int_Tables_number 1
loop_
_symmetry_equiv_pos_as_xyz
'x,y,z'
loop_
_atom_site_label
_atom_site_type_symbol
_atom_site_fract_x
_atom_site_fract_y
_atom_site_fract_z
Rb1 Rb 0.000 0.000 0.000
Y1 Y 0.500 0.500 0.500
S1 S 0.000 0.500 0.500
S2 S 0.500 0.000 0.500
N1 N 0.500 0.500 0.000
```

Summary:
* formation energy without anion corrections: -483 meV per atom
* SG: P4/mmm, No. 123
* crystal system: tetragonal
* M_tot: 2.965 μB/f.u.



# 9
Here is a relaxed structure of RbZnSN2 from Alexandria via LeMat-Bulk. Energies are from GGA-PBE.

```
data_RbZnSN2
_chemical_formula_sum 'Rb1 Zn1 S1 N2'
_cell_length_a 4.488
_cell_length_b 4.488
_cell_length_c 4.855
_cell_angle_alpha 90.00
_cell_angle_beta 90.00
_cell_angle_gamma 90.00
_symmetry_space_group_name_H-M 'P 1'
_symmetry_Int_Tables_number 1
loop_
_symmetry_equiv_pos_as_xyz
'x,y,z'
loop_
_atom_site_label
_atom_site_type_symbol
_atom_site_fract_x
_atom_site_fract_y
_atom_site_fract_z
Rb1 Rb 0.000 0.000 0.000
Zn1 Zn 0.500 0.500 0.500
S1 S 0.500 0.500 0.000
N1 N 0.000 0.500 0.500
N2 N 0.500 0.000 0.500
```

Summary:
* formation energy without anion corrections: 1142 meV per atom
* SG: P4/mmm, No. 123
* crystal system: tetragonal
* M_tot: 4.920 μB/f.u.



# 10
Here is a relaxed structure of RbZnSN2 from Alexandria via LeMat-Bulk. Energies are from GGA-PBE.

```
data_RbZnSN2
_chemical_formula_sum 'Rb1 Zn1 S1 N2'
_cell_length_a 5.630
_cell_length_b 5.630
_cell_length_c 6.528
_cell_angle_alpha 90.00
_cell_angle_beta 90.00
_cell_angle_gamma 90.00
_symmetry_space_group_name_H-M 'P 1'
_symmetry_Int_Tables_number 1
loop_
_symmetry_equiv_pos_as_xyz
'x,y,z'
loop_
_atom_site_label
_atom_site_type_symbol
_atom_site_fract_x
_atom_site_fract_y
_atom_site_fract_z
Rb1 Rb 0.000 0.000 0.000
Zn1 Zn 0.500 0.500 0.500
S1 S 0.000 0.000 0.500
N1 N 0.000 0.500 0.000
N2 N 0.500 0.000 0.000
```

Summary:
* formation energy without anion corrections: 2235 meV per atom
* SG: P4/mmm, No. 123
* crystal system: tetragonal
* M_tot: 7.006 μB/f.u.



# 11
Here is a relaxed structure of RbSbN3 from Alexandria via LeMat-Bulk. Energies are from GGA-PBE.

```
data_RbSbN3
_chemical_formula_sum 'Rb1 Sb1 N3'
_cell_length_a 4.324
_cell_length_b 4.324
_cell_length_c 4.324
_cell_angle_alpha 90.00
_cell_angle_beta 90.00
_cell_angle_gamma 90.00
_symmetry_space_group_name_H-M 'P 1'
_symmetry_Int_Tables_number 1
loop_
_symmetry_equiv_pos_as_xyz
'x,y,z'
loop_
_atom_site_label
_atom_site_type_symbol
_atom_site_fract_x
_atom_site_fract_y
_atom_site_fract_z
Rb1 Rb 0.000 0.000 0.000
Sb1 Sb 0.500 0.500 0.500
N1 N 0.000 0.000 0.500
N2 N 0.000 0.500 0.000
N3 N 0.500 0.000 0.000
```

Summary:
* formation energy without anion corrections: 3098 meV per atom
* SG: Pm-3m, No. 221
* crystal system: cubic
* M_tot: 1.641 μB/f.u.



# 12
Here is a relaxed structure of RbSb2N from Alexandria via LeMat-Bulk. Energies are from GGA-PBE.

```
data_RbSb2N
_chemical_formula_sum 'Rb4 Sb8 N4'
_cell_length_a 6.182
_cell_length_b 6.182
_cell_length_c 13.651
_cell_angle_alpha 90.00
_cell_angle_beta 90.00
_cell_angle_gamma 90.00
_symmetry_space_group_name_H-M 'P 1'
_symmetry_Int_Tables_number 1
loop_
_symmetry_equiv_pos_as_xyz
'x,y,z'
loop_
_atom_site_label
_atom_site_type_symbol
_atom_site_fract_x
_atom_site_fract_y
_atom_site_fract_z
Rb1 Rb 0.000 0.000 0.000
Rb2 Rb 0.000 0.500 0.250
Rb3 Rb 0.500 0.000 0.750
Rb4 Rb 0.500 0.500 0.500
Sb1 Sb 0.003 0.750 0.625
Sb2 Sb 0.250 0.003 0.375
Sb3 Sb 0.250 0.497 0.875
Sb4 Sb 0.497 0.750 0.125
Sb5 Sb 0.503 0.250 0.125
Sb6 Sb 0.750 0.503 0.875
Sb7 Sb 0.750 0.997 0.375
Sb8 Sb 0.997 0.250 0.625
N1 N 0.000 0.000 0.500
N2 N 0.000 0.500 0.750
N3 N 0.500 0.000 0.250
N4 N 0.500 0.500 0.000
```

Summary:
* formation energy without anion corrections: 487 meV per atom
* SG: I-42d, No. 122
* crystal system: tetragonal
* M_tot: 0.000 μB/f.u.



# 13
Here is a relaxed structure of RbSb3N from Alexandria via LeMat-Bulk. Energies are from GGA-PBE.

```
data_RbSb3N
_chemical_formula_sum 'Rb1 Sb3 N1'
_cell_length_a 5.010
_cell_length_b 5.010
_cell_length_c 5.010
_cell_angle_alpha 90.00
_cell_angle_beta 90.00
_cell_angle_gamma 90.00
_symmetry_space_group_name_H-M 'P 1'
_symmetry_Int_Tables_number 1
loop_
_symmetry_equiv_pos_as_xyz
'x,y,z'
loop_
_atom_site_label
_atom_site_type_symbol
_atom_site_fract_x
_atom_site_fract_y
_atom_site_fract_z
Rb1 Rb 0.000 0.000 0.000
Sb1 Sb 0.000 0.500 0.500
Sb2 Sb 0.500 0.000 0.500
Sb3 Sb 0.500 0.500 0.000
N1 N 0.500 0.500 0.500
```

Summary:
* formation energy without anion corrections: 540 meV per atom
* SG: Pm-3m, No. 221
* crystal system: cubic
* M_tot: 0.000 μB/f.u.



# 14
Here is a relaxed structure of RbSbN3 from Alexandria via LeMat-Bulk. Energies are from GGA-PBE.

```
data_RbSbN3
_chemical_formula_sum 'Rb1 Sb1 N3'
_cell_length_a 4.247
_cell_length_b 4.247
_cell_length_c 4.247
_cell_angle_alpha 90.00
_cell_angle_beta 90.00
_cell_angle_gamma 90.00
_symmetry_space_group_name_H-M 'P 1'
_symmetry_Int_Tables_number 1
loop_
_symmetry_equiv_pos_as_xyz
'x,y,z'
loop_
_atom_site_label
_atom_site_type_symbol
_atom_site_fract_x
_atom_site_fract_y
_atom_site_fract_z
Rb1 Rb 0.000 0.000 0.000
Sb1 Sb 0.500 0.500 0.500
N1 N 0.000 0.500 0.500
N2 N 0.500 0.000 0.500
N3 N 0.500 0.500 0.000
```

Summary:
* formation energy without anion corrections: 1252 meV per atom
* SG: Pm-3m, No. 221
* crystal system: cubic
* M_tot: 3.061 μB/f.u.



no.,calculated volume (A^3/atom)
1,26.960
2,39.665
3,18.389
4,31.762
5,16.446
6,20.808
7,24.220
8,27.724
9,19.559
10,41.388
11,16.171
12,32.607
13,25.146
14,15.317